Pm5SiRh2 GGA-PBE relaxed; formation energy without anion corrections = -0.58 eV/atom; DFT total energy = -6.063 eV/atom; space group = No. 140
1.0
-3.914 3.914 6.680
3.914 -3.914 6.680
3.914 3.914 -6.680
Pm Si Rh
10 2 4
Direct
0.000 0.000 0.000
0.021 0.521 0.828
0.194 0.021 0.500
0.306 0.806 0.828
0.479 0.306 0.500
0.500 0.500 0.000
0.521 0.694 0.500
0.694 0.194 0.172
0.806 0.979 0.500
0.979 0.479 0.172
0.250 0.250 0.000
0.750 0.750 0.000
0.134 0.366 0.500
0.366 0.866 0.231
0.634 0.134 0.769
0.866 0.634 0.500